Entry from the Alexandria database: a relaxed structure of MoOs (GGA-PBEsol).

Output
Calculated total energy, eV/atom: -11.866
Crystal system: trigonal
Formation energy from the elements, eV/atom: 0.126
Symmetry: P-3m1 (164)

Cell: 2.745 2.745 8.990 Å, 90.00 90.00 120.00°
Positions (direct):
Mo  0.667  0.333  0.136
Mo  0.333  0.667  0.864
Os  0.333  0.667  0.378
Os  0.667  0.333  0.622

***

Entry from the Alexandria database: a relaxed structure of HfSc2CuAg (GGA-PBEsol).

Output
Calculated total energy, eV/atom: -5.770
Crystal system: tetragonal
Formation energy from the elements, eV/atom: 0.502
Symmetry: P4/mmm (123)

Cell: 4.683 4.786 4.786 Å, 90.00 90.00 90.00°
Last column: magnetic moment on the atom in μB.
Positions (direct):
Ag  0.500  0.000  0.000  0.03
Hf  0.500  0.500  0.500  0.75
Sc  0.000  0.500  0.000  0.27
Cu  0.000  0.000  0.000  0.06
Sc  0.000  0.000  0.500  0.27

***

Entry from the Alexandria database: a relaxed structure of TaMoW2 (GGA-PBEsol).

Output
Calculated total energy, eV/atom: -13.057
Crystal system: cubic
Energy above the lowest structure with this stoichiometry, eV/atom: 0.040
Formation energy from the elements, eV/atom: -0.074
Symmetry: Fm-3m (225)

Cell: 4.488 4.488 4.488 Å, 60.00 60.00 60.00°
Positions (direct):
Mo  0.000  0.000  0.000
W  0.250  0.250  0.250
Ta  0.500  0.500  0.500
W  0.750  0.750  0.750

***

Entry from the Alexandria database: a relaxed structure of TaTeBr3 (GGA-PBEsol).

Output
Calculated total energy, eV/atom: -3.105
Crystal system: cubic
Formation energy from raw total energies, meV/atom: 1232
Symmetry: Pm-3m (221)

Cell: 5.553 5.553 5.553 Å, 90.00 90.00 90.00°
Last column: magnetic moment on the atom in μB.
Positions (direct):
Br  0.000  0.000  0.500  0.02
Te  0.000  0.000  0.000  0.03
Ta  0.500  0.500  0.500  2.50
Br  0.500  0.000  0.000  0.02
Br  0.000  0.500  0.000  0.02

***

Entry from the Alexandria database: a relaxed structure of BaZnW (GGA-PBEsol).

Output
Calculated total energy, eV/atom: -4.251
Crystal system: cubic
Energy above the lowest structure with this stoichiometry, eV/atom: 0.710
Formation energy from the elements, eV/atom: 1.595
Symmetry: F-43m (216)

Cell: 4.770 4.770 4.770 Å, 60.00 60.00 60.00°
Last column: magnetic moment on the atom in μB.
Positions (direct):
Zn  0.000  0.000  0.000  -0.01
W  0.250  0.250  0.250  1.66
Ba  0.500  0.500  0.500  0.05

***

Entry from the Alexandria database: a relaxed structure of CsMnMoO3F3 (GGA-PBEsol).

Output
Calculated total energy, eV/atom: -7.139
Crystal system: monoclinic
Formation energy from raw total energies, meV/atom: -2250
Symmetry: C2/c (15)

Cell: 7.198 7.198 7.334 Å, 118.14 118.14 91.65°
Last column: magnetic moment on the atom in μB.
Positions (direct):
F  0.091  0.326  0.740  0.03
F  0.330  0.670  0.250  0.06
F  0.909  0.674  0.260  0.03
F  0.670  0.330  0.750  0.06
Mn  0.500  0.000  0.500  3.96
Cs  0.362  0.638  0.750  0.00
O  0.049  0.951  0.750  0.01
Mn  0.000  0.500  0.000  3.96
O  0.709  0.978  0.407  0.00
F  0.326  0.091  0.240  0.03
O  0.291  0.022  0.593  0.00
O  0.978  0.709  0.907  0.00
Mo  0.000  0.000  0.000  0.08
O  0.951  0.049  0.250  0.01
O  0.022  0.291  0.093  0.00
Cs  0.638  0.362  0.250  0.00
Mo  0.000  0.000  0.500  0.08
F  0.674  0.909  0.760  0.03

***

Entry from the Alexandria database: a relaxed structure of LiMgZn2 (GGA-PBEsol).

Output
Calculated total energy, eV/atom: -1.828
Crystal system: orthorhombic
Formation energy from the elements, eV/atom: -0.116
Symmetry: Pmmm (47)

Cell: 3.274 2.952 6.419 Å, 90.00 90.01 90.00°
Positions (direct):
Li  0.500  0.500  0.000
Zn  0.000  0.000  0.218
Zn  0.000  0.000  0.782
Mg  0.500  0.500  0.500

***

Entry from the Alexandria database: a relaxed structure of CoNiRh2 (GGA-PBEsol).

Output
Calculated total energy, eV/atom: -7.470
Crystal system: tetragonal
Energy above the lowest structure with this stoichiometry, eV/atom: 0.013
Formation energy from the elements, eV/atom: 0.073
Symmetry: P4/mmm (123)

Cell: 3.550 3.685 3.685 Å, 90.00 90.00 90.00°
Last column: magnetic moment on the atom in μB.
Positions (direct):
Co  0.500  0.500  0.500  1.50
Ni  0.500  0.000  0.000  0.61
Rh  0.000  0.000  0.500  0.43
Rh  0.000  0.500  0.000  0.43

***

Entry from the Alexandria database: a relaxed structure of Mo2Br (GGA-PBEsol).

Output
Calculated total energy, eV/atom: -7.651
Crystal system: orthorhombic
Formation energy from raw total energies, meV/atom: 818
Energy above the lowest structure with this stoichiometry, eV/atom: 0.000
Symmetry: Immm (71)

Cell: 3.010 4.164 4.616 Å, 116.81 109.03 90.00°
Positions (direct):
Br  0.000  0.000  0.000
Mo  0.669  0.669  0.337
Mo  0.331  0.331  0.663

***

Entry from the Alexandria database: a relaxed structure of RbGa3Pb (GGA-PBEsol).

Output
Calculated total energy, eV/atom: -2.588
Crystal system: cubic
Formation energy from the elements, eV/atom: 0.421
Symmetry: Pm-3m (221)

Cell: 5.620 5.620 5.620 Å, 90.00 90.00 90.00°
Positions (direct):
Rb  0.500  0.500  0.500
Ga  0.000  0.000  0.500
Pb  0.000  0.000  0.000
Ga  0.500  0.000  0.000
Ga  0.000  0.500  0.000

***

Entry from the Alexandria database: a relaxed structure of Li2ZnPt (GGA-PBEsol).

Output
Calculated total energy, eV/atom: -3.626
Crystal system: tetragonal
Formation energy from the elements, eV/atom: -0.507
Symmetry: I-4m2 (119)

Cell: 4.248 4.223 4.248 Å, 59.80 90.00 120.20°
Positions (direct):
Pt  0.500  0.000  0.500
Li  0.000  0.000  0.000
Li  0.750  0.500  0.750
Zn  0.250  0.500  0.250

***

Entry from the Alexandria database: a relaxed structure of Tb2Ga9Co3 (GGA-PBEsol).

Output
Calculated total energy, eV/atom: -5.077
Crystal system: orthorhombic
Formation energy from the elements, eV/atom: -0.556
Symmetry: Cmcm (63)

Cell: 7.250 7.250 9.281 Å, 90.00 90.00 119.71°
Positions (direct):
Tb  0.003  0.331  0.750
Ga  0.001  0.334  0.072
Ga  0.663  0.450  0.750
Ga  0.001  0.334  0.428
Ga  0.878  0.878  0.750
Ga  0.550  0.337  0.250
Ga  0.666  0.999  0.572
Ga  0.334  0.334  0.558
Ga  0.334  0.334  0.942
Co  0.329  0.671  0.500
Tb  0.997  0.669  0.250
Ga  0.999  0.666  0.928
Co  0.000  0.000  0.500
Ga  0.334  0.001  0.072
Ga  0.122  0.122  0.250
Co  0.329  0.671  0.000
Ga  0.999  0.666  0.572
Tb  0.669  0.997  0.250
Ga  0.450  0.663  0.750
Co  0.671  0.329  0.000
Ga  0.334  0.001  0.428
Ga  0.666  0.999  0.928
Ga  0.337  0.550  0.250
Co  0.000  0.000  0.000
Co  0.671  0.329  0.500
Ga  0.666  0.666  0.442
Tb  0.331  0.003  0.750
Ga  0.666  0.666  0.058

***

Entry from the Alexandria database: a relaxed structure of La3SbH (GGA-PBEsol).

Output
Calculated total energy, eV/atom: -5.461
Crystal system: cubic
Symmetry: Pm-3m (221)

Cell: 4.956 4.956 4.956 Å, 90.00 90.00 90.00°
Positions (direct):
H  0.000  0.000  0.000
La  0.000  0.500  0.000
La  0.500  0.000  0.000
Sb  0.500  0.500  0.500
La  0.000  0.000  0.500

***

Entry from the Alexandria database: a relaxed structure of Hf2Ge2Rh (GGA-PBEsol).

Output
Calculated total energy, eV/atom: -8.626
Crystal system: tetragonal
Formation energy from the elements, eV/atom: -0.822
Symmetry: P4/mbm (127)

Cell: 4.116 6.371 6.371 Å, 90.00 90.00 90.00°
Positions (direct):
Hf  0.500  0.832  0.332
Ge  0.000  0.139  0.361
Ge  0.000  0.861  0.639
Hf  0.500  0.668  0.832
Ge  0.000  0.361  0.861
Hf  0.500  0.332  0.168
Ge  0.000  0.639  0.139
Rh  0.000  0.000  0.000
Hf  0.500  0.168  0.668
Rh  0.000  0.500  0.500

***

Entry from the Alexandria database: a relaxed structure of LiMg2Cd (GGA-PBEsol).

Output
Calculated total energy, eV/atom: -1.777
Crystal system: tetragonal
Formation energy from the elements, eV/atom: -0.128
Symmetry: P4/mmm (123)

Cell: 3.441 3.441 6.691 Å, 90.00 90.00 90.00°
Positions (direct):
Mg  0.000  0.000  0.743
Li  0.500  0.500  0.500
Mg  0.000  0.000  0.257
Cd  0.500  0.500  0.000

***

Entry from the Alexandria database: a relaxed structure of KVTeO5 (GGA-PBEsol).

Output
Calculated total energy, eV/atom: -6.935
Crystal system: monoclinic
Formation energy from raw total energies, meV/atom: -1868
Symmetry: P2_1/c (14)

Cell: 6.382 6.833 11.331 Å, 90.00 90.00 105.65°
Positions (direct):
O  0.538  0.713  0.481
O  0.887  0.494  0.592
K  0.179  0.657  0.185
V  0.656  0.402  0.125
O  0.528  0.048  0.711
Te  0.767  0.906  0.061
O  0.805  0.133  0.452
O  0.805  0.633  0.048
O  0.887  0.994  0.908
V  0.344  0.098  0.625
K  0.179  0.157  0.315
O  0.472  0.452  0.211
O  0.472  0.952  0.289
Te  0.767  0.406  0.439
O  0.462  0.287  0.519
Te  0.233  0.594  0.561
K  0.821  0.843  0.685
O  0.195  0.367  0.952
O  0.834  0.323  0.207
O  0.462  0.787  0.981
O  0.195  0.867  0.548
O  0.113  0.006  0.092
O  0.528  0.548  0.789
O  0.834  0.823  0.293
O  0.113  0.506  0.408
V  0.344  0.598  0.875
K  0.821  0.343  0.815
O  0.538  0.213  0.019
O  0.166  0.677  0.793
Te  0.233  0.094  0.939
V  0.656  0.902  0.375
O  0.166  0.177  0.707

***

Entry from the Alexandria database: a relaxed structure of PtW2Se (GGA-PBEsol).

Output
Calculated total energy, eV/atom: -9.368
Crystal system: orthorhombic
Formation energy from raw total energies, meV/atom: 239
Symmetry: Imm2 (44)

Cell: 2.942 4.546 5.336 Å, 115.22 106.01 90.00°
Positions (direct):
Se  0.256  0.756  0.512
W  0.753  0.253  0.506
W  0.976  0.976  0.952
Pt  0.515  0.515  0.029

***

Entry from the Alexandria database: a relaxed structure of Li3Mo2P3O12 (GGA-PBEsol).

Output
Calculated total energy, eV/atom: -7.549
Crystal system: monoclinic
Formation energy from raw total energies, meV/atom: -2059
Energy above the lowest structure with this stoichiometry, eV/atom: 0.025
Symmetry: Cc (9)

Cell: 8.613 8.613 8.627 Å, 63.07 63.07 61.56°
Last column: magnetic moment on the atom in μB.
Positions (direct):
P  0.245  0.477  0.041  0.02
O  0.246  0.933  0.096  0.02
Li  0.368  0.635  0.243  0.00
P  0.951  0.051  0.743  0.02
O  0.277  0.386  0.581  0.02
O  0.933  0.246  0.596  0.02
O  0.699  0.386  0.931  0.02
O  0.755  0.069  0.891  0.02
P  0.756  0.524  0.945  0.02
O  0.069  0.755  0.391  0.02
Li  0.635  0.368  0.743  0.00
O  0.724  0.616  0.405  0.02
O  0.386  0.699  0.431  0.02
O  0.386  0.277  0.081  0.02
O  0.520  0.944  0.296  0.03
Mo  0.361  0.853  0.857  2.54
O  0.020  0.104  0.309  0.03
O  0.616  0.724  0.905  0.02
O  0.531  0.241  0.349  0.04
P  0.477  0.245  0.541  0.02
Li  0.307  0.064  0.199  0.00
P  0.051  0.951  0.243  0.02
O  0.615  0.302  0.555  0.02
P  0.524  0.756  0.445  0.02
O  0.471  0.760  0.638  0.04
O  0.481  0.058  0.691  0.03
O  0.944  0.520  0.796  0.03
O  0.981  0.897  0.677  0.03
Mo  0.148  0.641  0.629  2.54
O  0.760  0.471  0.138  0.04
O  0.897  0.981  0.177  0.03
Li  0.938  0.694  0.288  0.00
O  0.302  0.615  0.055  0.02
Mo  0.641  0.148  0.129  2.54
Mo  0.853  0.361  0.357  2.54
Li  0.064  0.307  0.699  0.00
O  0.058  0.481  0.191  0.03
Li  0.694  0.938  0.788  0.00
O  0.241  0.531  0.849  0.04
O  0.104  0.020  0.809  0.03

***

Entry from the Alexandria database: a relaxed structure of TlHCl2 (GGA-PBEsol).

Output
Calculated total energy, eV/atom: -3.195
Crystal system: trigonal
Symmetry: R-3m (166)

Cell: 4.876 4.876 6.644 Å, 68.47 68.47 60.00°
Positions (direct):
H  0.000  0.000  0.000
Tl  0.500  0.500  0.500
Cl  0.086  0.086  0.742
Cl  0.914  0.914  0.258

***

Entry from the Alexandria database: a relaxed structure of GeSeIO2 (GGA-PBEsol).

Output
Calculated total energy, eV/atom: -4.015
Crystal system: tetragonal
Formation energy from raw total energies, meV/atom: 196
Symmetry: P4/mmm (123)

Cell: 3.993 3.993 5.732 Å, 90.00 90.00 90.00°
Positions (direct):
Se  0.000  0.000  0.000
Ge  0.500  0.500  0.500
O  0.500  0.000  0.000
I  0.000  0.000  0.500
O  0.000  0.500  0.000